This record from the Alexandria database describes a relaxed structure of Tl2AgSn4Au3. The functional is PBE-GGA.

## Properties
The calculation puts the volume at 26.4 Å³/atom. Its formation energy is -0.66 eV/f.u. As for the total energy: -34.09 eV for the cell shown. As for the calculated density: 9.945 Mg/m³. The magnetic moment comes out at 0.000 Bohr magnetons per cell.

Cell and atoms, written as extended XYZ:
```
10
Lattice="4.857 0.000 0.000 0.000 4.857 0.000 0.000 0.000 11.202" Properties=species:S:1:pos:R:3 pbc="T T T"
Tl 0.000 2.428 2.630
Tl 2.428 0.000 8.571
Ag 2.428 2.428 0.000
Sn 0.000 0.000 5.601
Sn 0.000 2.428 9.778
Sn 2.428 0.000 1.424
Sn 2.428 2.428 5.601
Au 0.000 0.000 0.000
Au 0.000 2.428 7.053
Au 2.428 0.000 4.149
```

---

This record from the Alexandria database describes a relaxed structure of PaTiSn. The functional is PBE-GGA.

## Properties
The calculation puts the volume at 22.4 Å³/atom. Its formation energy is -0.48 eV/f.u. As for the total energy: -87.48 eV for the cell shown. As for the calculated density: 9.844 Mg/m³. The magnetic moment comes out at 0.000 Bohr magnetons per cell.

Cell and atoms, written as extended XYZ:
```
12
Lattice="8.849 0.000 0.000 0.000 3.353 0.000 0.000 0.000 9.042" Properties=species:S:1:pos:R:3 pbc="T T T"
Pa 0.178 0.838 1.276
Pa 4.246 2.515 5.797
Pa 4.603 0.838 3.245
Pa 8.671 2.515 7.766
Ti 0.949 0.838 5.445
Ti 3.476 2.515 0.924
Ti 5.373 0.838 8.117
Ti 7.901 2.515 3.597
Sn 1.915 2.515 3.381
Sn 2.510 0.838 7.902
Sn 6.340 2.515 1.140
Sn 6.934 0.838 5.661
```

---

> The highest calculated density belongs to which entry?

Tl2AgSn4Au3

---

> Look up the volume of the first one.

26.4 Å³/atom